# CaNd6Dy2 | Alexandria | PBE-GGA | optimized geometry
data_CaNd6Dy2
_chemical_formula_sum 'Ca1 Nd6 Dy2'
_space_group_name_H-M_alt 'P -3 1 m'
_space_group_IT_number 162
_space_group_name_Hall '-P 3 2'
_cell_length_a 6.0790
_cell_length_b 6.0790
_cell_length_c 11.7937
_cell_angle_alpha 90.00
_cell_angle_beta 90.00
_cell_angle_gamma 120.00
loop_
_atom_site_label
_atom_site_fract_x
_atom_site_fract_y
_atom_site_fract_z
_atom_site_occupancy
Ca1 0.0000 0.0000 0.0000 1
Nd1 0.0000 0.3316 0.2590 1
Dy1 0.3333 0.6667 0.5000 1
# Fermi-level density of states: 1.64 states/eV per atom
# Total DFT energy (no corrections): -3.931 eV/atom
# Density: 5.4 g/cm³
# Crystal system: trigonal
# Formation energy: 492 meV per atom